PuMnGaRu: optimized geometry, PBE.

Its density of states at the Fermi level is 5.31 states/eV/f.u. The value obtained for the density is 12.08 g/cm3. The calculated total energy is -9.188 eV per atom.

The space group is F-43m (No. 216) and the conventional cell measures 6.368, 6.368 and 6.368 Å, with angles of 90.00, 90.00 and 90.00 degrees. The inequivalent atoms are Pu at (0.000, 0.000, 0.000), Mn at (0.250, 0.250, 0.250), Ga at (0.000, 0.000, 0.500) and Ru at (0.250, 0.250, 0.750).